Record 1
Material: DyNp4
Method: DFT, PBE-GGA
State: relaxed

ΔH_f (0 K)   1.83 eV/atom

Cell: 5.418 5.418 5.418 Å, 90.00 90.00 90.00°
Fractional coordinates of all 5 atoms:
1 Dy 0.000 0.000 0.000
2 Np 0.000 0.000 0.500
3 Np 0.000 0.500 0.000
4 Np 0.500 0.000 0.000
5 Np 0.500 0.500 0.500


Record 2
Material: Dy4Np
Method: DFT, PBE-GGA
State: relaxed

ΔH_f (0 K)   0.72 eV/atom

Cell: 5.527 5.527 5.527 Å, 90.00 90.00 90.00°
Fractional coordinates of all 5 atoms:
1 Dy 0.000 0.000 0.000
2 Dy 0.000 0.500 0.500
3 Dy 0.500 0.000 0.500
4 Dy 0.500 0.500 0.000
5 Np 0.500 0.500 0.500


Record 3
Material: Dy3NpO8
Method: DFT, PBE-GGA
State: relaxed

Cell: 5.323 5.323 5.323 Å, 90.00 90.00 90.00°
Fractional coordinates of all 12 atoms:
1 Dy 0.000 0.000 0.500
2 Dy 0.000 0.500 0.000
3 Dy 0.500 0.000 0.000
4 Np 0.500 0.500 0.500
5 O 0.262 0.262 0.262
6 O 0.262 0.262 0.738
7 O 0.262 0.738 0.262
8 O 0.262 0.738 0.738
9 O 0.738 0.262 0.262
10 O 0.738 0.262 0.738
11 O 0.738 0.738 0.262
12 O 0.738 0.738 0.738


Record 4
Material: DyNpO6
Method: DFT, PBE-GGA
State: relaxed

Cell: 4.487 4.487 5.545 Å, 101.54 101.54 100.19°
Fractional coordinates of all 8 atoms:
1 Dy 0.000 0.000 0.000
2 Np 0.500 0.500 0.500
3 O 0.090 0.090 0.442
4 O 0.197 0.558 0.220
5 O 0.442 0.803 0.780
6 O 0.558 0.197 0.220
7 O 0.803 0.442 0.780
8 O 0.910 0.910 0.558


Record 5
Material: DyNp4O10
Method: DFT, PBE-GGA
State: relaxed

Cell: 13.706 13.706 13.706 Å, 164.07 164.07 22.61°
Fractional coordinates of all 15 atoms:
1 Dy 0.000 0.000 0.000
2 Np 0.200 0.200 0.000
3 Np 0.402 0.402 0.000
4 Np 0.598 0.598 0.000
5 Np 0.800 0.800 0.000
6 O 0.052 0.552 0.500
7 O 0.150 0.650 0.500
8 O 0.250 0.750 0.500
9 O 0.350 0.850 0.500
10 O 0.448 0.948 0.500
11 O 0.552 0.052 0.500
12 O 0.650 0.150 0.500
13 O 0.750 0.250 0.500
14 O 0.850 0.350 0.500
15 O 0.948 0.448 0.500


Record 6
Material: DyNp2O8
Method: DFT, PBE-GGA
State: relaxed

Cell: 6.874 6.874 4.237 Å, 90.00 90.00 120.00°
Fractional coordinates of all 11 atoms:
1 Dy 0.000 0.000 0.000
2 Np 0.333 0.667 0.747
3 Np 0.667 0.333 0.253
4 O 0.169 0.340 0.749
5 O 0.171 0.831 0.749
6 O 0.333 0.667 0.245
7 O 0.340 0.171 0.251
8 O 0.660 0.829 0.749
9 O 0.667 0.333 0.755
10 O 0.829 0.169 0.251
11 O 0.831 0.660 0.251


| no. | VASP energy (Ry/atom) |
| --- | --- |
| 1 | -0.694 |
| 2 | -0.408 |
| 3 | -0.643 |
| 4 | -0.598 |
| 5 | -0.753 |
| 6 | -0.655 |